Record 1
An optimized crystal structure of Pm6Ho12Cd. Source: Alexandria, functional PBE-GGA.

Geometry as POSCAR:
```
Pm6Ho12Cd
1.0
-6.5464 4.1521 3.4186
-5.0609 -2.4803 -6.3260
-2.2909 -6.9014 4.3479
Pm Ho Cd
6 12 1
direct
0.0938 0.7009 0.2621 Pm
0.9062 0.2991 0.7379 Pm
0.2991 0.7379 0.9062 Pm
0.2621 0.0938 0.7009 Pm
0.7009 0.2621 0.0938 Pm
0.7379 0.9062 0.2991 Pm
0.4626 0.5635 0.2210 Ho
0.6393 0.9845 0.8160 Ho
0.7790 0.5374 0.4365 Ho
0.3607 0.0155 0.1840 Ho
0.0155 0.1840 0.3607 Ho
0.1840 0.3607 0.0155 Ho
0.9845 0.8160 0.6393 Ho
0.5374 0.4365 0.7790 Ho
0.5635 0.2210 0.4626 Ho
0.4365 0.7790 0.5374 Ho
0.8160 0.6393 0.9845 Ho
0.2210 0.4626 0.5635 Ho
0.0000 0.0000 0.0000 Cd
```

- M_tot: 0.00 μB per cell
- Crystal system: trigonal
- DFT total energy: -4.339 eV per atom
- Calculated formation energy: 0.10 eV/atom
- Symmetry: R-3 (148)


Record 2
An optimized crystal structure of Ca4ErPb15. Source: Alexandria, functional PBE-GGA.

Geometry as POSCAR:
```
Ca4ErPb15
1.0
-1.4786 4.6761 0.2704
-3.8592 -1.0555 -2.8492
-13.3805 -5.3946 20.1220
Ca Pb Er
4 15 1
direct
0.0000 0.0000 0.1975 Ca
0.0000 0.0000 0.3995 Ca
0.0000 0.0000 0.6005 Ca
0.0000 0.0000 0.8025 Ca
0.5000 0.5000 0.6009 Pb
0.5000 0.5000 0.3991 Pb
0.5000 0.0000 0.9022 Pb
0.0000 0.5000 0.2989 Pb
0.0000 0.5000 0.0978 Pb
0.5000 0.5000 0.0000 Pb
0.5000 0.0000 0.5000 Pb
0.5000 0.0000 0.0978 Pb
0.0000 0.5000 0.5000 Pb
0.5000 0.0000 0.2989 Pb
0.0000 0.5000 0.7011 Pb
0.5000 0.0000 0.7011 Pb
0.5000 0.5000 0.8018 Pb
0.0000 0.5000 0.9022 Pb
0.5000 0.5000 0.1982 Pb
0.0000 0.0000 0.0000 Er
```

- M_tot: 0.00 μB per cell
- Crystal system: tetragonal
- DFT total energy: -3.712 eV per atom
- Calculated formation energy: -0.30 eV/atom
- Symmetry: P4/mmm (123)


Record 3
An optimized crystal structure of Ta2Te7Mo2. Source: Alexandria, functional PBE-GGA.

Geometry as POSCAR:
```
Ta2Te7Mo2
1.0
-4.9647 4.9008 -1.5225
-2.2372 -1.1898 6.5798
5.5066 4.1876 -1.3625
Ta Te Mo
2 7 2
direct
0.5000 0.6903 0.3097 Ta
0.5000 0.3097 0.6903 Ta
0.7811 0.0582 0.4662 Te
0.2189 0.5338 0.9418 Te
0.3641 0.2805 0.2805 Te
0.0000 0.0000 0.0000 Te
0.6359 0.7195 0.7195 Te
0.2189 0.9418 0.5338 Te
0.7811 0.4662 0.0582 Te
0.1546 0.5876 0.5876 Mo
0.8454 0.4124 0.4124 Mo
```

- M_tot: 0.00 μB per cell
- Crystal system: monoclinic
- DFT total energy: -6.050 eV per atom
- Symmetry: C2/m (12)
- Formation energy without anion corrections: 0.0740 eV per atom


Record 4
An optimized crystal structure of YNiSCl2. Source: Alexandria, functional PBE-GGA.

Geometry as POSCAR:
```
YNiSCl2
1.0
-0.3023 3.2256 3.0870
-3.0850 -2.3876 2.1926
3.4544 -2.1193 2.5527
Cl Ni S Y
2 1 1 1
direct
0.0000 0.5000 0.0000 Cl
0.5000 0.0000 0.0000 Cl
0.0000 0.0000 0.0000 Ni
0.0000 0.0000 0.5000 S
0.5000 0.5000 0.5000 Y
```

- M_tot: 0.00 μB per cell
- Crystal system: tetragonal
- DFT total energy: -4.874 eV per atom
- Symmetry: P4/mmm (123)
- Formation energy without anion corrections: -0.8604 eV per atom


Record 5
An optimized crystal structure of Na2HgO2. Source: Alexandria, functional PBE-GGA.

Geometry as POSCAR:
```
Na2HgO2
1.0
-2.1927 -4.0636 0.7028
2.8286 0.1949 -5.5679
4.2533 -1.3301 5.5798
O Na Hg
4 4 2
direct
0.5305 0.0609 0.7843 O
0.1841 0.3681 0.6057 O
0.8159 0.6319 0.3943 O
0.4695 0.9391 0.2157 O
0.0156 0.0311 0.7118 Na
0.3399 0.6797 0.4560 Na
0.6601 0.3203 0.5440 Na
0.9844 0.9689 0.2882 Na
0.6702 0.3404 0.0910 Hg
0.3298 0.6596 0.9090 Hg
```

- M_tot: 0.00 μB per cell
- Crystal system: monoclinic
- DFT total energy: -3.606 eV per atom
- Symmetry: C2/m (12)
- Formation energy without anion corrections: -1.0351 eV per atom


Record 6
An optimized crystal structure of KVBPb2. Source: Alexandria, functional PBE-GGA.

Geometry as POSCAR:
```
KVBPb2
1.0
-1.6332 3.8665 -3.2501
-4.1024 -1.6105 0.1456
-1.0593 3.0777 4.1936
V Pb B K
1 2 1 1
direct
0.0000 0.0000 0.0000 V
0.5000 0.0000 0.0000 Pb
0.0000 0.0000 0.5000 Pb
0.0000 0.5000 0.0000 B
0.5000 0.5000 0.5000 K
```

- M_tot: 0.00 μB per cell
- Crystal system: tetragonal
- DFT total energy: -4.311 eV per atom
- Calculated formation energy: 0.55 eV/atom
- Symmetry: P4/mmm (123)


Record 7
An optimized crystal structure of FeRuW2. Source: Alexandria, functional PBE-GGA.

Geometry as POSCAR:
```
FeRuW2
1.0
2.6937 -0.1903 0.0000
-0.4916 2.6553 0.0000
0.0000 0.0000 8.3035
Ru W Fe
1 2 1
direct
0.5000 0.5000 0.7374 Ru
0.5000 0.5000 0.2637 W
0.0000 0.0000 0.9909 W
0.0000 0.0000 0.5079 Fe
```

- M_tot: 1.77 μB per cell
- Crystal system: orthorhombic
- DFT total energy: -10.722 eV per atom
- Calculated formation energy: 0.19 eV/atom
- Symmetry: Cmm2 (35)


Record 8
An optimized crystal structure of KRb2SrH. Source: Alexandria, functional PBE-GGA.

Geometry as POSCAR:
```
KRb2SrH
1.0
7.4473 0.0000 0.0000
0.0000 7.4473 0.0000
0.0000 0.0000 4.9601
H K Rb Sr
1 1 2 1
direct
0.0000 0.0000 0.0000 H
0.5000 0.5000 0.5000 K
0.0000 0.5000 0.0000 Rb
0.5000 0.0000 0.0000 Rb
0.0000 0.0000 0.5000 Sr
```

- M_tot: 0.00 μB per cell
- Crystal system: tetragonal
- DFT total energy: -1.587 eV per atom
- Symmetry: P4/mmm (123)